A relaxed ScMnCdPt crystal, computed with GGA-PBE.

Cell and atoms, written as POSCAR:
```
ScMnCdPt
1.0
4.664 0.000 0.000
2.332 4.039 0.000
2.332 1.346 3.808
Pt Mn Sc Cd
1 1 1 1
Direct
0.000 0.000 0.000 Pt
0.250 0.250 0.250 Mn
0.750 0.750 0.750 Sc
0.500 0.500 0.500 Cd
```

**Electronic total energy**: -6.02 eV/atom
**Size of the total moment**: 4.14 Bohr magnetons per cell
**Calculated volume**: 17.9 Å³/atom
**Space-group type**: F-43m, No. 216
**Formation enthalpy at 0 K**: -0.405 eV per atom
**Calculated density**: 9.43 g cm⁻³
**Crystal system**: cubic


A relaxed Ti2ZnRh3 crystal, computed with GGA-PBE.

Cell and atoms, written as POSCAR:
```
Ti2ZnRh3
1.0
-0.481 -4.307 -0.306
3.101 2.007 -2.286
6.820 -1.336 8.078
Rh Ti Zn
6 4 2
Direct
0.000 0.000 0.246 Rh
0.333 0.667 0.923 Rh
0.667 0.333 0.581 Rh
0.000 0.000 0.754 Rh
0.667 0.333 0.077 Rh
0.333 0.667 0.419 Rh
0.333 0.667 0.178 Ti
0.667 0.333 0.822 Ti
0.000 0.000 0.000 Ti
0.000 0.000 0.500 Ti
0.333 0.667 0.668 Zn
0.667 0.333 0.332 Zn
```

**Electronic total energy**: -7.28 eV/atom
**E above lowest polymorph**: 0.00 eV/f.u.
**Size of the total moment**: 0.00 Bohr magnetons per cell
**Calculated volume**: 14.5 Å³/atom
**Space-group type**: P-3m1, No. 164
**Formation enthalpy at 0 K**: -0.760 eV per atom
**Calculated density**: 8.96 g cm⁻³
**Crystal system**: trigonal


A relaxed SmTmTlHg crystal, computed with GGA-PBE.

Cell and atoms, written as POSCAR:
```
SmTmTlHg
1.0
3.766 0.000 0.000
0.000 3.766 0.000
0.000 0.000 7.583
Hg Tl Tm Sm
1 1 1 1
Direct
0.000 0.000 0.374 Hg
0.000 0.000 0.845 Tl
0.500 0.500 0.595 Tm
0.500 0.500 0.114 Sm
```

**Electronic total energy**: -3.38 eV/atom
**E above lowest polymorph**: 0.00 eV/f.u.
**Size of the total moment**: 0.49 Bohr magnetons per cell
**Calculated volume**: 26.9 Å³/atom
**Space-group type**: P4mm, No. 99
**Formation enthalpy at 0 K**: -0.411 eV per atom
**Calculated density**: 11.18 g cm⁻³
**Crystal system**: tetragonal


A relaxed AcPm2Ho6 crystal, computed with GGA-PBE.

Cell and atoms, written as POSCAR:
```
AcPm2Ho6
1.0
-2.209 5.151 -3.998
-6.720 0.688 -1.328
-3.819 6.880 5.045
Ho Pm Ac
6 2 1
Direct
0.049 0.555 0.347 Ho
0.555 0.049 0.347 Ho
0.049 0.049 0.347 Ho
0.775 0.288 0.649 Ho
0.288 0.775 0.649 Ho
0.288 0.288 0.649 Ho
0.750 0.750 0.750 Pm
0.577 0.577 0.269 Pm
0.334 0.334 0.997 Ac
```

**Electronic total energy**: -4.19 eV/atom
**E above lowest polymorph**: 1.08 eV/f.u.
**Size of the total moment**: 0.00 Bohr magnetons per cell
**Calculated volume**: 38.6 Å³/atom
**Space-group type**: R3m, No. 160
**Formation enthalpy at 0 K**: 0.379 eV per atom
**Calculated density**: 7.20 g cm⁻³
**Crystal system**: trigonal


A relaxed AlZn2Rh crystal, computed with GGA-PBE.

Cell and atoms, written as POSCAR:
```
AlZn2Rh
1.0
-1.260 1.338 -3.901
1.055 -2.278 -3.506
-3.037 -2.179 -2.150
Al Rh Zn
1 1 2
Direct
0.500 0.500 0.500 Al
0.750 0.750 0.750 Rh
0.250 0.250 0.250 Zn
0.000 0.000 0.000 Zn
```

**Electronic total energy**: -3.76 eV/atom
**Size of the total moment**: 0.00 Bohr magnetons per cell
**Calculated volume**: 14.2 Å³/atom
**Space-group type**: F-43m, No. 216
**Formation enthalpy at 0 K**: -0.348 eV per atom
**Calculated density**: 7.64 g cm⁻³
**Crystal system**: cubic


A relaxed ZnTcAs2Os crystal, computed with GGA-PBE.

Cell and atoms, written as POSCAR:
```
ZnTcAs2Os
1.0
-1.032 1.576 4.285
-4.583 0.528 -1.298
-0.899 -4.377 1.394
Zn As Tc Os
1 2 1 1
Direct
0.000 0.500 0.000 Zn
0.000 0.000 0.500 As
0.500 0.000 0.000 As
0.000 0.000 0.000 Tc
0.500 0.500 0.500 Os
```

**Electronic total energy**: -5.14 eV/atom
**Size of the total moment**: 2.71 Bohr magnetons per cell
**Calculated volume**: 21.0 Å³/atom
**Space-group type**: P4/mmm, No. 123
**Formation enthalpy at 0 K**: 1.298 eV per atom
**Calculated density**: 7.96 g cm⁻³
**Crystal system**: tetragonal


A relaxed LaMg2Te crystal, computed with GGA-PBE.

Cell and atoms, written as POSCAR:
```
LaMg2Te
1.0
-4.464 -3.287 3.711
-0.450 -6.654 0.162
4.514 4.890 0.467
La Mg Te
1 2 1
Direct
0.750 0.250 0.500 La
0.000 0.000 0.000 Mg
0.500 0.500 0.000 Mg
0.250 0.750 0.500 Te
```

**Electronic total energy**: -3.37 eV/atom
**Size of the total moment**: 0.00 Bohr magnetons per cell
**Calculated volume**: 29.4 Å³/atom
**Space-group type**: I4/mmm, No. 139
**Formation energy (no corrections)**: -54 kJ per mole of atoms
**Calculated density**: 4.45 g cm⁻³
**Crystal system**: tetragonal


A relaxed La6Ge2Te3I crystal, computed with GGA-PBE.

Cell and atoms, written as POSCAR:
```
La6Ge2Te3I
1.0
4.509 0.000 0.000
0.000 9.161 0.340
-2.254 -2.625 9.563
La Ge Te I
6 2 3 1
Direct
0.672 0.570 0.345 La
0.988 0.732 0.975 La
0.012 0.268 0.025 La
0.328 0.430 0.655 La
0.326 0.889 0.652 La
0.674 0.111 0.348 La
0.833 0.668 0.665 Ge
0.167 0.332 0.335 Ge
0.160 0.835 0.320 Te
0.840 0.165 0.680 Te
0.500 0.500 0.000 Te
0.500 0.000 0.000 I
```

**Electronic total energy**: -5.47 eV/atom
**Size of the total moment**: 0.00 Bohr magnetons per cell
**Calculated volume**: 33.2 Å³/atom
**Space-group type**: C2/m, No. 12
**Formation energy (no corrections)**: -128 kJ per mole of atoms
**Calculated density**: 6.19 g cm⁻³
**Crystal system**: monoclinic


A relaxed Tl2HgRhS crystal, computed with GGA-PBE.

Cell and atoms, written as POSCAR:
```
Tl2HgRhS
1.0
-3.868 -1.137 3.806
3.972 -1.088 3.711
-0.012 4.306 1.274
S Tl Hg Rh
1 2 1 1
Direct
0.000 0.000 0.500 S
0.000 0.500 0.000 Tl
0.500 0.000 0.000 Tl
0.500 0.500 0.500 Hg
0.000 0.000 0.000 Rh
```

**Electronic total energy**: -3.35 eV/atom
**Size of the total moment**: 0.00 Bohr magnetons per cell
**Calculated volume**: 27.6 Å³/atom
**Space-group type**: P4/mmm, No. 123
**Formation energy (no corrections)**: -4 kJ per mole of atoms
**Calculated density**: 8.96 g cm⁻³
**Crystal system**: tetragonal


A relaxed LaSb2 crystal, computed with GGA-PBE.

Cell and atoms, written as POSCAR:
```
LaSb2
1.0
6.256 -0.024 -0.009
4.161 4.672 -0.009
1.654 0.738 6.148
Sb La
4 2
Direct
0.934 0.934 0.581 Sb
0.343 0.343 0.863 Sb
0.639 0.639 0.222 Sb
0.639 0.639 0.722 Sb
0.258 0.258 0.420 La
0.020 0.020 0.024 La
```

**Electronic total energy**: -5.18 eV/atom
**Size of the total moment**: 0.00 Bohr magnetons per cell
**Calculated volume**: 30.1 Å³/atom
**Space-group type**: C2/m, No. 12
**Formation energy (no corrections)**: -76 kJ per mole of atoms
**Calculated density**: 7.04 g cm⁻³
**Crystal system**: monoclinic


A relaxed MoP crystal, computed with GGA-PBE.

Cell and atoms, written as POSCAR:
```
MoP
1.0
-1.959 1.959 3.748
1.959 -1.959 3.748
1.959 1.959 -3.748
P Mo
2 2
Direct
0.250 0.750 0.500 P
0.500 0.500 0.000 P
0.750 0.250 0.500 Mo
0.000 0.000 0.000 Mo
```

**Electronic total energy**: -8.00 eV/atom
**Size of the total moment**: 0.00 Bohr magnetons per cell
**Calculated volume**: 14.4 Å³/atom
**Space-group type**: I4_1/amd, No. 141
**Formation enthalpy at 0 K**: 0.120 eV per atom
**Calculated density**: 7.33 g cm⁻³
**Crystal system**: tetragonal


A relaxed Zn2GaAg8 crystal, computed with GGA-PBE.

Cell and atoms, written as POSCAR:
```
Zn2GaAg8
1.0
4.703 0.501 0.417
0.827 6.877 -0.280
0.827 0.981 6.812
Ag Ga Zn
8 1 2
Direct
0.897 0.265 0.265 Ag
0.701 0.578 0.578 Ag
0.103 0.735 0.735 Ag
0.195 0.845 0.334 Ag
0.805 0.155 0.666 Ag
0.299 0.422 0.422 Ag
0.805 0.666 0.155 Ag
0.195 0.334 0.845 Ag
0.000 0.000 0.000 Ga
0.534 0.854 0.854 Zn
0.466 0.146 0.146 Zn
```

**Electronic total energy**: -2.43 eV/atom
**E above lowest polymorph**: 1.78 eV/f.u.
**Size of the total moment**: 0.00 Bohr magnetons per cell
**Calculated volume**: 19.7 Å³/atom
**Space-group type**: C2/m, No. 12
**Formation enthalpy at 0 K**: 0.151 eV per atom
**Calculated density**: 8.15 g cm⁻³
**Crystal system**: monoclinic


A relaxed LiCaHIr crystal, computed with GGA-PBE.

Cell and atoms, written as POSCAR:
```
LiCaHIr
1.0
3.325 0.000 0.000
0.000 3.558 0.000
0.000 0.000 10.006
H Li Ir Ca
2 2 2 2
Direct
0.500 0.500 0.308 H
0.000 0.000 0.808 H
0.000 0.000 0.590 Li
0.500 0.500 0.090 Li
0.000 0.000 0.979 Ir
0.500 0.500 0.479 Ir
0.500 0.500 0.810 Ca
0.000 0.000 0.310 Ca
```

**Electronic total energy**: -4.21 eV/atom
**E above lowest polymorph**: 0.34 eV/f.u.
**Size of the total moment**: 0.00 Bohr magnetons per cell
**Calculated volume**: 14.8 Å³/atom
**Space-group type**: Imm2, No. 44
**Calculated density**: 6.74 g cm⁻³
**Crystal system**: orthorhombic


A relaxed HgBiPb6 crystal, computed with GGA-PBE.

Cell and atoms, written as POSCAR:
```
HgBiPb6
1.0
5.105 0.000 0.000
0.000 5.105 0.000
0.000 0.000 9.498
Hg Pb Bi
1 6 1
Direct
0.000 0.000 0.500 Hg
0.000 0.500 0.748 Pb
0.500 0.000 0.252 Pb
0.500 0.500 0.000 Pb
0.000 0.500 0.252 Pb
0.500 0.500 0.500 Pb
0.500 0.000 0.748 Pb
0.000 0.000 0.000 Bi
```

**Electronic total energy**: -3.28 eV/atom
**Size of the total moment**: 0.00 Bohr magnetons per cell
**Calculated volume**: 30.9 Å³/atom
**Space-group type**: P4/mmm, No. 123
**Formation enthalpy at 0 K**: 0.022 eV per atom
**Calculated density**: 11.09 g cm⁻³
**Crystal system**: tetragonal


A relaxed PrNpN2F crystal, computed with GGA-PBE.

Cell and atoms, written as POSCAR:
```
PrNpN2F
1.0
3.579 0.000 0.000
0.000 3.579 0.000
0.000 0.000 11.260
N Pr Np F
4 2 2 2
Direct
0.500 0.000 0.282 N
0.000 0.500 0.718 N
0.000 0.500 0.102 N
0.500 0.000 0.898 N
0.000 0.500 0.346 Pr
0.500 0.000 0.654 Pr
0.000 0.500 0.897 Np
0.500 0.000 0.103 Np
0.500 0.500 0.500 F
0.000 0.000 0.500 F
```

**Electronic total energy**: -9.22 eV/atom
**Size of the total moment**: 5.59 Bohr magnetons per cell
**Calculated volume**: 14.4 Å³/atom
**Space-group type**: P4/nmm, No. 129
**Formation energy (no corrections)**: -191 kJ per mole of atoms
**Calculated density**: 9.79 g cm⁻³
**Crystal system**: tetragonal


A relaxed Tb2Dy3Ho6Pb crystal, computed with GGA-PBE.

Cell and atoms, written as POSCAR:
```
Tb2Dy3Ho6Pb
1.0
-5.265 -2.244 -2.035
3.146 -3.000 4.243
-4.900 7.483 7.466
Dy Ho Pb Tb
3 6 1 2
Direct
0.500 0.500 0.500 Dy
0.167 0.833 0.500 Dy
0.833 0.167 0.500 Dy
0.918 0.589 0.751 Ho
0.411 0.082 0.249 Ho
0.754 0.754 0.250 Ho
0.589 0.918 0.751 Ho
0.246 0.246 0.750 Ho
0.082 0.411 0.249 Ho
0.000 0.000 0.000 Pb
0.666 0.334 0.000 Tb
0.334 0.666 0.000 Tb
```

**Electronic total energy**: -4.57 eV/atom
**Size of the total moment**: 0.00 Bohr magnetons per cell
**Calculated volume**: 30.5 Å³/atom
**Space-group type**: C2/m, No. 12
**Formation enthalpy at 0 K**: -0.054 eV per atom
**Calculated density**: 9.07 g cm⁻³
**Crystal system**: monoclinic


A relaxed LiMg2Ta crystal, computed with GGA-PBE.

Cell and atoms, written as POSCAR:
```
LiMg2Ta
1.0
5.470 0.017 0.035
4.768 2.682 0.035
0.920 0.243 5.386
Li Ta Mg
1 1 2
Direct
0.254 0.254 0.242 Li
0.496 0.496 0.524 Ta
0.746 0.746 0.708 Mg
0.004 0.004 0.026 Mg
```

**Electronic total energy**: -3.90 eV/atom
**E above lowest polymorph**: 0.78 eV/f.u.
**Size of the total moment**: 0.00 Bohr magnetons per cell
**Calculated volume**: 19.6 Å³/atom
**Space-group type**: Cm, No. 8
**Formation enthalpy at 0 K**: 0.338 eV per atom
**Calculated density**: 5.00 g cm⁻³
**Crystal system**: monoclinic


A relaxed LiHoN crystal, computed with GGA-PBE.

Cell and atoms, written as POSCAR:
```
LiHoN
1.0
3.529 0.000 0.000
1.764 3.056 0.000
1.764 1.019 8.599
Li N Ho
2 2 2
Direct
0.311 0.311 0.066 Li
0.689 0.689 0.934 Li
0.393 0.393 0.822 N
0.607 0.607 0.178 N
0.101 0.101 0.698 Ho
0.899 0.899 0.302 Ho
```

**Electronic total energy**: -5.86 eV/atom
**Size of the total moment**: 0.04 Bohr magnetons per cell
**Calculated volume**: 15.5 Å³/atom
**Space-group type**: R-3m, No. 166
**Formation energy (no corrections)**: -89 kJ per mole of atoms
**Calculated density**: 6.66 g cm⁻³
**Crystal system**: trigonal


A relaxed Nd4ZnRh crystal, computed with GGA-PBE.

Cell and atoms, written as POSCAR:
```
Nd4ZnRh
1.0
6.207 -0.181 0.000
-1.805 7.954 0.000
-2.201 -3.886 6.944
Nd Rh Zn
8 2 2
Direct
0.350 0.934 0.629 Nd
0.672 0.354 0.137 Nd
0.965 0.783 0.137 Nd
0.035 0.217 0.863 Nd
0.650 0.066 0.371 Nd
0.779 0.695 0.629 Nd
0.221 0.305 0.371 Nd
0.328 0.646 0.863 Nd
0.752 0.002 0.004 Rh
0.248 0.998 0.996 Rh
0.625 0.375 0.750 Zn
0.375 0.625 0.250 Zn
```

**Electronic total energy**: -4.93 eV/atom
**E above lowest polymorph**: 0.41 eV/f.u.
**Size of the total moment**: 0.00 Bohr magnetons per cell
**Calculated volume**: 28.4 Å³/atom
**Space-group type**: C2/c, No. 15
**Formation enthalpy at 0 K**: -0.313 eV per atom
**Calculated density**: 7.27 g cm⁻³
**Crystal system**: monoclinic